## Cd2NiRuO6 (PBE with a Hubbard U)

Data for an optimized crystal structure of Cd2NiRuO6.

a b c (Å): 5.244 5.244 4.905
angles (deg): 90.00 90.00 90.00
Fractional positions:
Cd 0.000 0.500 0.000
Cd 0.500 0.000 0.000
Ni 0.000 0.000 0.571
Ru 0.500 0.500 0.567
O 0.000 0.000 0.178
O 0.261 0.261 0.707
O 0.261 0.739 0.707
O 0.500 0.500 0.211
O 0.739 0.261 0.707
O 0.739 0.739 0.707

Values from the calculation:
Electronic total energy ... -50.39 eV for the cell shown
M_tot ... 0.181 μB per atom
Space group ... P4mm (99)